[1]
! PBE-GGA LaTbSm2Tm5, optimized geometry; values from VASP
! - M_tot (μB per formula unit) = 0.0
! - E_form (meV/atom) = 257
! - calculated volume (Å³/cell) = 575
&SYSTEM
  ibrav = 0, nat = 18, ntyp = 4
/
ATOMIC_SPECIES
La 138.91 La.upf
Tm 168.93 Tm.upf
Tb 158.93 Tb.upf
Sm 150.36 Sm.upf
CELL_PARAMETERS angstrom
-5.610 5.572 -3.442
2.228 -2.638 -7.903
-3.826 -6.869 5.920
ATOMIC_POSITIONS crystal
La 0.250 0.750 0.500
La 0.750 0.250 0.500
Tm 0.844 0.929 0.273
Tm 0.156 0.071 0.727
Tm 0.429 0.344 0.273
Tm 0.929 0.429 0.273
Tm 0.500 0.500 0.000
Tm 0.071 0.571 0.727
Tm 0.571 0.656 0.727
Tm 0.656 0.156 0.727
Tm 0.344 0.844 0.273
Tm 0.000 0.000 0.000
Tb 0.750 0.750 0.500
Tb 0.250 0.250 0.500
Sm 0.618 0.118 0.000
Sm 0.382 0.882 0.000
Sm 0.118 0.382 0.000
Sm 0.882 0.618 0.000


[2]
! PBE-GGA La2TbSm2Tm2, optimized geometry; values from VASP
! - M_tot (μB per formula unit) = 0.0
! - E_form (meV/atom) = 30
! - calculated volume (Å³/cell) = 234
&SYSTEM
  ibrav = 0, nat = 7, ntyp = 4
/
ATOMIC_SPECIES
La 138.91 La.upf
Sm 150.36 Sm.upf
Tm 168.93 Tm.upf
Tb 158.93 Tb.upf
CELL_PARAMETERS angstrom
5.121 0.000 0.000
-2.561 5.718 0.295
0.000 -1.578 7.911
ATOMIC_POSITIONS crystal
La 0.857 0.714 0.572
La 0.143 0.286 0.428
Sm 0.571 0.141 0.721
Sm 0.429 0.859 0.279
Tm 0.716 0.432 0.137
Tm 0.284 0.568 0.863
Tb 0.000 0.000 0.000


[3]
! PBE-GGA La2TbSm4Tm, optimized geometry; values from VASP
! - M_tot (μB per formula unit) = 0.0
! - E_form (meV/atom) = 28
! - calculated volume (Å³/cell) = 272
&SYSTEM
  ibrav = 0, nat = 8, ntyp = 4
/
ATOMIC_SPECIES
Tb 158.93 Tb.upf
La 138.91 La.upf
Sm 150.36 Sm.upf
Tm 168.93 Tm.upf
CELL_PARAMETERS angstrom
5.141 0.000 0.000
0.000 5.053 0.831
0.000 3.393 11.018
ATOMIC_POSITIONS crystal
Tb 0.500 0.500 0.000
La 0.500 0.000 0.500
La 0.000 0.000 0.000
Sm 0.000 0.752 0.749
Sm 0.500 0.750 0.250
Sm 0.500 0.250 0.750
Sm 0.000 0.248 0.251
Tm 0.000 0.500 0.500


[4]
! PBE-GGA La2TbSm5Tm, optimized geometry; values from VASP
! - M_tot (μB per formula unit) = 0.0
! - E_form (meV/atom) = 130
! - calculated volume (Å³/cell) = 624
&SYSTEM
  ibrav = 0, nat = 18, ntyp = 4
/
ATOMIC_SPECIES
Sm 150.36 Sm.upf
Tb 158.93 Tb.upf
La 138.91 La.upf
Tm 168.93 Tm.upf
CELL_PARAMETERS angstrom
-1.976 3.090 -4.362
-0.812 -10.061 -3.037
-9.935 -0.458 4.175
ATOMIC_POSITIONS crystal
Sm 0.481 0.962 0.743
Sm 0.387 0.775 0.022
Sm 0.279 0.559 0.309
Sm 0.984 0.968 0.521
Sm 0.702 0.404 0.203
Sm 0.519 0.038 0.243
Sm 0.298 0.596 0.703
Sm 0.016 0.032 0.021
Sm 0.721 0.441 0.809
Sm 0.613 0.225 0.522
Tb 0.200 0.401 0.010
Tb 0.800 0.599 0.510
La 0.887 0.774 0.234
La 0.113 0.226 0.734
La 0.117 0.234 0.318
La 0.883 0.766 0.818
Tm 0.591 0.182 0.963
Tm 0.409 0.818 0.463


[5]
! PBE-GGA LaTbSmTm2, optimized geometry; values from VASP
! - M_tot (μB per formula unit) = 0.0
! - E_form (meV/atom) = 353
! - calculated volume (Å³/cell) = 350
&SYSTEM
  ibrav = 0, nat = 10, ntyp = 4
/
ATOMIC_SPECIES
Tb 158.93 Tb.upf
La 138.91 La.upf
Tm 168.93 Tm.upf
Sm 150.36 Sm.upf
CELL_PARAMETERS angstrom
7.214 0.000 0.000
0.000 8.418 0.000
0.000 -4.209 5.756
ATOMIC_POSITIONS crystal
Tb 0.750 0.718 0.436
Tb 0.250 0.282 0.564
La 0.250 0.733 0.466
La 0.750 0.267 0.534
Tm 0.000 0.688 0.000
Tm 0.500 0.312 0.000
Tm 0.000 0.312 0.000
Tm 0.500 0.688 0.000
Sm 0.250 0.000 0.000
Sm 0.750 0.000 0.000


[6]
! PBE-GGA La2Tb3SmTm6, optimized geometry; values from VASP
! - M_tot (μB per formula unit) = 0.0
! - E_form (meV/atom) = 23
! - calculated volume (Å³/cell) = 382
&SYSTEM
  ibrav = 0, nat = 12, ntyp = 4
/
ATOMIC_SPECIES
Tb 158.93 Tb.upf
La 138.91 La.upf
Tm 168.93 Tm.upf
Sm 150.36 Sm.upf
CELL_PARAMETERS angstrom
6.181 0.001 0.009
-3.089 5.354 0.009
-1.045 -1.809 11.524
ATOMIC_POSITIONS crystal
Tb 0.833 0.167 0.500
Tb 0.167 0.833 0.500
Tb 0.500 0.500 0.500
La 0.334 0.666 0.000
La 0.666 0.334 0.000
Tm 0.085 0.418 0.254
Tm 0.915 0.582 0.746
Tm 0.753 0.753 0.254
Tm 0.418 0.085 0.254
Tm 0.582 0.915 0.746
Tm 0.247 0.247 0.746
Sm 0.000 0.000 0.000


[7]
! PBE-GGA La4Tb2SmTm2, optimized geometry; values from VASP
! - M_tot (μB per formula unit) = 0.0
! - E_form (meV/atom) = 29
! - calculated volume (Å³/cell) = 306
&SYSTEM
  ibrav = 0, nat = 9, ntyp = 4
/
ATOMIC_SPECIES
Sm 150.36 Sm.upf
La 138.91 La.upf
Tm 168.93 Tm.upf
Tb 158.93 Tb.upf
CELL_PARAMETERS angstrom
5.161 0.000 0.000
-2.580 7.713 0.051
0.000 -2.570 7.667
ATOMIC_POSITIONS crystal
Sm 0.000 0.000 0.000
La 0.224 0.448 0.332
La 0.446 0.892 0.671
La 0.554 0.108 0.329
La 0.776 0.552 0.668
Tm 0.669 0.337 0.000
Tm 0.331 0.663 0.000
Tb 0.112 0.224 0.671
Tb 0.888 0.776 0.329


[8]
! PBE-GGA La2Tb2Sm4Tm, optimized geometry; values from VASP
! - M_tot (μB per formula unit) = 0.0
! - E_form (meV/atom) = 7
! - calculated volume (Å³/cell) = 304
&SYSTEM
  ibrav = 0, nat = 9, ntyp = 4
/
ATOMIC_SPECIES
Tm 168.93 Tm.upf
Sm 150.36 Sm.upf
Tb 158.93 Tb.upf
La 138.91 La.upf
CELL_PARAMETERS angstrom
-1.199 3.025 1.680
-7.335 -1.785 -6.013
-0.317 -4.805 8.426
ATOMIC_POSITIONS crystal
Tm 0.000 0.000 0.000
Sm 0.519 0.038 0.334
Sm 0.814 0.628 0.665
Sm 0.481 0.962 0.666
Sm 0.186 0.372 0.335
Tb 0.853 0.706 0.335
Tb 0.147 0.294 0.665
La 0.335 0.670 0.002
La 0.665 0.330 0.998


[9]
! PBE-GGA La3TbSm6Tm2, optimized geometry; values from VASP
! - M_tot (μB per formula unit) = 0.0
! - E_form (meV/atom) = 23
! - calculated volume (Å³/cell) = 406
&SYSTEM
  ibrav = 0, nat = 12, ntyp = 4
/
ATOMIC_SPECIES
Tm 168.93 Tm.upf
Sm 150.36 Sm.upf
La 138.91 La.upf
Tb 158.93 Tb.upf
CELL_PARAMETERS angstrom
-5.450 1.508 -2.757
1.356 -6.023 1.211
-3.743 2.501 11.165
ATOMIC_POSITIONS crystal
Tm 0.667 0.333 0.000
Tm 0.333 0.667 0.000
Sm 0.919 0.585 0.757
Sm 0.747 0.747 0.243
Sm 0.081 0.415 0.243
Sm 0.585 0.919 0.757
Sm 0.253 0.253 0.757
Sm 0.415 0.081 0.243
La 0.833 0.167 0.500
La 0.500 0.500 0.500
La 0.167 0.833 0.500
Tb 0.000 0.000 0.000


[10]
! PBE-GGA LaTbSmTm3, optimized geometry; values from VASP
! - M_tot (μB per formula unit) = 0.0
! - E_form (meV/atom) = 112
! - calculated volume (Å³/cell) = 390
&SYSTEM
  ibrav = 0, nat = 12, ntyp = 4
/
ATOMIC_SPECIES
La 138.91 La.upf
Tb 158.93 Tb.upf
Tm 168.93 Tm.upf
Sm 150.36 Sm.upf
CELL_PARAMETERS angstrom
-1.513 -5.356 -1.714
5.605 2.285 -2.192
5.456 -4.504 9.260
ATOMIC_POSITIONS crystal
La 0.507 0.013 0.750
La 0.493 0.987 0.250
Tb 0.824 0.649 0.750
Tb 0.176 0.351 0.250
Tm 0.831 0.662 0.250
Tm 0.325 0.650 0.995
Tm 0.169 0.338 0.750
Tm 0.675 0.350 0.005
Tm 0.325 0.650 0.505
Tm 0.675 0.350 0.495
Sm 0.000 0.000 0.500
Sm 0.000 0.000 0.000


[11]
! PBE-GGA La6TbSm2Tm, optimized geometry; values from VASP
! - M_tot (μB per formula unit) = 0.0
! - E_form (meV/atom) = 114
! - calculated volume (Å³/cell) = 702
&SYSTEM
  ibrav = 0, nat = 20, ntyp = 4
/
ATOMIC_SPECIES
Tm 168.93 Tm.upf
La 138.91 La.upf
Tb 158.93 Tb.upf
Sm 150.36 Sm.upf
CELL_PARAMETERS angstrom
8.983 -1.593 -1.654
1.144 8.849 -1.846
1.144 -2.173 8.775
ATOMIC_POSITIONS crystal
Tm 0.750 0.571 0.429
Tm 0.250 0.429 0.571
La 0.090 0.075 0.776
La 0.597 0.432 0.717
La 0.590 0.776 0.075
La 0.181 0.536 0.972
La 0.319 0.028 0.464
La 0.097 0.717 0.432
La 0.903 0.283 0.568
La 0.819 0.464 0.028
La 0.910 0.925 0.224
La 0.410 0.224 0.925
La 0.681 0.972 0.536
La 0.403 0.568 0.283
Tb 0.250 0.935 0.065
Tb 0.750 0.065 0.935
Sm 0.936 0.706 0.795
Sm 0.564 0.205 0.294
Sm 0.064 0.294 0.205
Sm 0.436 0.795 0.706


[12]
! PBE-GGA La2TbSmTm, optimized geometry; values from VASP
! - M_tot (μB per formula unit) = 0.0
! - E_form (meV/atom) = 221
! - calculated volume (Å³/cell) = 345
&SYSTEM
  ibrav = 0, nat = 10, ntyp = 4
/
ATOMIC_SPECIES
Tb 158.93 Tb.upf
Sm 150.36 Sm.upf
La 138.91 La.upf
Tm 168.93 Tm.upf
CELL_PARAMETERS angstrom
-4.382 -4.227 -2.891
-2.411 -2.367 7.115
-4.514 4.665 0.021
ATOMIC_POSITIONS crystal
Tb 0.809 0.500 0.250
Tb 0.191 0.500 0.750
Sm 0.410 0.000 0.750
Sm 0.590 0.000 0.250
La 0.285 0.703 0.250
La 0.285 0.297 0.250
La 0.715 0.703 0.750
La 0.715 0.297 0.750
Tm 0.000 0.000 0.000
Tm 0.000 0.000 0.500